The following is a PBE calculation of a geometry-optimized TiTcW structure, from the Alexandria database.

Calculated values
- formation energy from the elements (eV/atom) = -0.322
- DOS at the Fermi energy (states/eV per cell) = 6.35

Lattice parameters (Å, degrees): 4.4143 9.4681 4.4285 90.00 90.00 90.00
Atoms (fractional coordinates):
1 Tc 0.0000 0.0000 0.5000
2 Tc 0.5000 0.5000 0.5000
3 Tc 0.5000 0.0000 0.0000
4 Tc 0.0000 0.5000 0.0000
5 W 0.0000 0.6661 0.5000
6 W 0.5000 0.1661 0.5000
7 W 0.0000 0.3339 0.5000
8 W 0.5000 0.8339 0.5000
9 Ti 0.5000 0.3406 0.0000
10 Ti 0.5000 0.6594 0.0000
11 Ti 0.0000 0.8406 0.0000
12 Ti 0.0000 0.1594 0.0000



The following is a PBE calculation of a geometry-optimized YGaSb2 structure, from the Alexandria database.

Calculated values
- raw formation energy (kJ per mole of atoms) = -44.00
- DOS at the Fermi energy (states/eV per cell) = 1.65

Lattice parameters (Å, degrees): 4.3627 4.7984 4.7984 90.00 90.00 90.00
Atoms (fractional coordinates):
1 Sb 0.0000 0.0000 0.5000
2 Sb 0.0000 0.5000 0.0000
3 Ga 0.5000 0.0000 0.0000
4 Y 0.5000 0.5000 0.5000



The following is a PBE calculation of a geometry-optimized Mg5AlAg structure, from the Alexandria database.

Calculated values
- formation energy from the elements (eV/atom) = -0.032
- DOS at the Fermi energy (states/eV per cell) = 5.07

Lattice parameters (Å, degrees): 7.3999 7.3999 5.5925 79.22 79.22 90.67
Atoms (fractional coordinates):
1 Mg 0.3282 0.1733 0.6075
2 Mg 0.1733 0.3282 0.1075
3 Mg 0.7250 0.2750 0.2500
4 Mg 0.3384 0.9518 0.1856
5 Mg 0.8267 0.6718 0.8925
6 Mg 0.6718 0.8267 0.3925
7 Mg 0.9518 0.3384 0.6856
8 Mg 0.6616 0.0482 0.8144
9 Mg 0.0482 0.6616 0.3144
10 Mg 0.2750 0.7250 0.7500
11 Al 0.5554 0.4446 0.7500
12 Al 0.4446 0.5554 0.2500
13 Ag 0.0000 0.0000 0.5000
14 Ag 0.0000 0.0000 0.0000